## ZrNi4Br (GGA-PBE)

Data for a relaxed structure of ZrNi4Br.

```
data_ZrNi4Br
_chemical_formula_sum 'Zr4 Ni16 Br4'
_symmetry_space_group_name_H-M 'F -4 3 m'
_symmetry_Int_Tables_number 216
_symmetry_space_group_name_Hall 'F -4 2 3'
_cell_length_a 6.9665
_cell_length_b 6.9665
_cell_length_c 6.9665
_cell_angle_alpha 90.00
_cell_angle_beta 90.00
_cell_angle_gamma 90.00
loop_
_atom_site_label
_atom_site_type_symbol
_atom_site_fract_x
_atom_site_fract_y
_atom_site_fract_z
Zr1 Zr 0.0000 0.0000 0.0000
Ni1 Ni 0.1259 0.1259 0.3741
Br1 Br 0.2500 0.2500 0.7500
```

=====

## ZrNi2Br (GGA-PBE)

Data for a relaxed structure of ZrNi2Br.

```
data_ZrNi2Br
_chemical_formula_sum 'Zr2 Ni4 Br2'
_symmetry_space_group_name_H-M 'C m m m'
_symmetry_Int_Tables_number 65
_symmetry_space_group_name_Hall '-C 2 2'
_cell_length_a 5.2396
_cell_length_b 7.3638
_cell_length_c 3.4289
_cell_angle_alpha 90.00
_cell_angle_beta 90.00
_cell_angle_gamma 90.00
loop_
_atom_site_label
_atom_site_type_symbol
_atom_site_fract_x
_atom_site_fract_y
_atom_site_fract_z
Zr1 Zr 0.0000 0.0000 0.0000
Ni1 Ni 0.2500 0.2500 0.5000
Br1 Br 0.0000 0.5000 0.0000
```

=====

## Zr2NiBr (GGA-PBE)

Data for a relaxed structure of Zr2NiBr.

```
data_Zr2NiBr
_chemical_formula_sum 'Zr4 Ni2 Br2'
_symmetry_space_group_name_H-M 'I -4 m 2'
_symmetry_Int_Tables_number 119
_symmetry_space_group_name_Hall 'I -4 -2'
_cell_length_a 3.8702
_cell_length_b 3.8702
_cell_length_c 10.2662
_cell_angle_alpha 90.00
_cell_angle_beta 90.00
_cell_angle_gamma 90.00
loop_
_atom_site_label
_atom_site_type_symbol
_atom_site_fract_x
_atom_site_fract_y
_atom_site_fract_z
Zr1 Zr 0.0000 0.0000 0.0000
Zr2 Zr 0.0000 0.5000 0.2500
Ni1 Ni 0.0000 0.0000 0.5000
Br1 Br 0.0000 0.5000 0.7500
```

=====

## ZrNi2Br (GGA-PBE)

Data for a relaxed structure of ZrNi2Br.

```
data_ZrNi2Br
_chemical_formula_sum 'Zr1 Ni2 Br1'
_symmetry_space_group_name_H-M 'P 4 m m'
_symmetry_Int_Tables_number 99
_symmetry_space_group_name_Hall 'P 4 -2'
_cell_length_a 3.2521
_cell_length_b 3.2521
_cell_length_c 7.3530
_cell_angle_alpha 90.00
_cell_angle_beta 90.00
_cell_angle_gamma 90.00
loop_
_atom_site_label
_atom_site_type_symbol
_atom_site_fract_x
_atom_site_fract_y
_atom_site_fract_z
Zr1 Zr 0.0000 0.0000 0.0000
Ni1 Ni 0.0000 0.0000 0.6726
Ni2 Ni 0.5000 0.5000 0.7798
Br1 Br 0.5000 0.5000 0.2479
```

=====

## Zr2NiBr (GGA-PBE)

Data for a relaxed structure of Zr2NiBr.

```
data_Zr2NiBr
_chemical_formula_sum 'Zr4 Ni2 Br2'
_symmetry_space_group_name_H-M 'C m m m'
_symmetry_Int_Tables_number 65
_symmetry_space_group_name_Hall '-C 2 2'
_cell_length_a 6.3376
_cell_length_b 7.3979
_cell_length_c 3.1411
_cell_angle_alpha 90.00
_cell_angle_beta 90.00
_cell_angle_gamma 90.00
loop_
_atom_site_label
_atom_site_type_symbol
_atom_site_fract_x
_atom_site_fract_y
_atom_site_fract_z
Zr1 Zr 0.2500 0.2500 0.0000
Ni1 Ni 0.0000 0.0000 0.5000
Br1 Br 0.0000 0.5000 0.5000
```

=====

## Zr2NiBr (GGA-PBE)

Data for a relaxed structure of Zr2NiBr.

```
data_Zr2NiBr
_chemical_formula_sum 'Zr4 Ni2 Br2'
_symmetry_space_group_name_H-M 'C 1 2/m 1'
_symmetry_Int_Tables_number 12
_symmetry_space_group_name_Hall '-C 2y'
_cell_length_a 6.3681
_cell_length_b 7.5167
_cell_length_c 3.1483
_cell_angle_alpha 90.00
_cell_angle_beta 100.24
_cell_angle_gamma 90.00
loop_
_atom_site_label
_atom_site_type_symbol
_atom_site_fract_x
_atom_site_fract_y
_atom_site_fract_z
Zr1 Zr 0.2500 0.2500 0.0000
Ni1 Ni 0.0000 0.0000 0.5000
Br1 Br 0.0000 0.5000 0.5000
```

=====

## ZrNiBr (GGA-PBE)

Data for a relaxed structure of ZrNiBr.

```
data_ZrNiBr
_chemical_formula_sum 'Zr2 Ni2 Br2'
_symmetry_space_group_name_H-M 'I 4 m m'
_symmetry_Int_Tables_number 107
_symmetry_space_group_name_Hall 'I 4 -2'
_cell_length_a 3.2237
_cell_length_b 3.2237
_cell_length_c 12.3955
_cell_angle_alpha 90.00
_cell_angle_beta 90.00
_cell_angle_gamma 90.00
loop_
_atom_site_label
_atom_site_type_symbol
_atom_site_fract_x
_atom_site_fract_y
_atom_site_fract_z
Zr1 Zr 0.0000 0.0000 0.0000
Ni1 Ni 0.0000 0.0000 0.3844
Br1 Br 0.0000 0.0000 0.6521
```

=====

## ZrNi2Br (GGA-PBE)

Data for a relaxed structure of ZrNi2Br.

```
data_ZrNi2Br
_chemical_formula_sum 'Zr4 Ni8 Br4'
_symmetry_space_group_name_H-M 'I -4 2 d'
_symmetry_Int_Tables_number 122
_symmetry_space_group_name_Hall 'I -4 2bw'
_cell_length_a 7.0751
_cell_length_b 7.0751
_cell_length_c 5.3149
_cell_angle_alpha 90.00
_cell_angle_beta 90.00
_cell_angle_gamma 90.00
loop_
_atom_site_label
_atom_site_type_symbol
_atom_site_fract_x
_atom_site_fract_y
_atom_site_fract_z
Zr1 Zr 0.0000 0.0000 0.0000
Ni1 Ni 0.2301 0.2500 0.6250
Br1 Br 0.0000 0.0000 0.5000
```

=====

## ZrNi2Br (GGA-PBE)

Data for a relaxed structure of ZrNi2Br.

```
data_ZrNi2Br
_chemical_formula_sum 'Zr2 Ni4 Br2'
_symmetry_space_group_name_H-M 'I m m 2'
_symmetry_Int_Tables_number 44
_symmetry_space_group_name_Hall 'I 2 -2'
_cell_length_a 3.4868
_cell_length_b 4.4065
_cell_length_c 8.4616
_cell_angle_alpha 90.00
_cell_angle_beta 90.00
_cell_angle_gamma 90.00
loop_
_atom_site_label
_atom_site_type_symbol
_atom_site_fract_x
_atom_site_fract_y
_atom_site_fract_z
Zr1 Zr 0.0000 0.0000 0.0000
Ni1 Ni 0.0000 0.0000 0.4889
Ni2 Ni 0.0000 0.5000 0.1982
Br1 Br 0.0000 0.5000 0.7764
```

=====

## ZrNi2Br (GGA-PBE)

Data for a relaxed structure of ZrNi2Br.

```
data_ZrNi2Br
_chemical_formula_sum 'Zr1 Ni2 Br1'
_symmetry_space_group_name_H-M 'P 1 2/m 1'
_symmetry_Int_Tables_number 10
_symmetry_space_group_name_Hall '-P 2y'
_cell_length_a 3.4337
_cell_length_b 3.3886
_cell_length_c 6.2805
_cell_angle_alpha 90.00
_cell_angle_beta 90.78
_cell_angle_gamma 90.00
loop_
_atom_site_label
_atom_site_type_symbol
_atom_site_fract_x
_atom_site_fract_y
_atom_site_fract_z
Zr1 Zr 0.0000 0.0000 0.0000
Ni1 Ni 0.4961 0.5000 0.8068
Br1 Br 0.5000 0.0000 0.5000
```

=====

## Zr2NiBr (GGA-PBE)

Data for a relaxed structure of Zr2NiBr.

```
data_Zr2NiBr
_chemical_formula_sum 'Zr4 Ni2 Br2'
_symmetry_space_group_name_H-M 'I m m m'
_symmetry_Int_Tables_number 71
_symmetry_space_group_name_Hall '-I 2 2'
_cell_length_a 4.0582
_cell_length_b 5.0178
_cell_length_c 7.3939
_cell_angle_alpha 90.00
_cell_angle_beta 90.00
_cell_angle_gamma 90.00
loop_
_atom_site_label
_atom_site_type_symbol
_atom_site_fract_x
_atom_site_fract_y
_atom_site_fract_z
Zr1 Zr 0.0000 0.0000 0.2414
Ni1 Ni 0.0000 0.5000 0.5000
Br1 Br 0.0000 0.5000 0.0000
```

=====

## ZrNi2Br (GGA-PBE)

Data for a relaxed structure of ZrNi2Br.

```
data_ZrNi2Br
_chemical_formula_sum 'Zr3 Ni6 Br3'
_symmetry_space_group_name_H-M 'R 3 m'
_symmetry_Int_Tables_number 160
_symmetry_space_group_name_Hall 'R 3 -2"'
_cell_length_a 3.8705
_cell_length_b 3.8705
_cell_length_c 20.6867
_cell_angle_alpha 90.00
_cell_angle_beta 90.00
_cell_angle_gamma 120.00
loop_
_atom_site_label
_atom_site_type_symbol
_atom_site_fract_x
_atom_site_fract_y
_atom_site_fract_z
Zr1 Zr 0.0000 0.0000 0.0000
Ni1 Ni 0.0000 0.0000 0.2656
Ni2 Ni 0.0000 0.0000 0.5895
Br1 Br 0.0000 0.0000 0.7579
```

=====

## Zr2NiBr (GGA-PBE)

Data for a relaxed structure of Zr2NiBr.

```
data_Zr2NiBr
_chemical_formula_sum 'Zr4 Ni2 Br2'
_symmetry_space_group_name_H-M 'I m m 2'
_symmetry_Int_Tables_number 44
_symmetry_space_group_name_Hall 'I 2 -2'
_cell_length_a 3.1998
_cell_length_b 4.8619
_cell_length_c 9.8439
_cell_angle_alpha 90.00
_cell_angle_beta 90.00
_cell_angle_gamma 90.00
loop_
_atom_site_label
_atom_site_type_symbol
_atom_site_fract_x
_atom_site_fract_y
_atom_site_fract_z
Zr1 Zr 0.0000 0.0000 0.0000
Zr2 Zr 0.0000 0.5000 0.2229
Ni1 Ni 0.0000 0.0000 0.4997
Br1 Br 0.0000 0.5000 0.7569
```

=====

## ZrNi2Br (GGA-PBE)

Data for a relaxed structure of ZrNi2Br.

```
data_ZrNi2Br
_chemical_formula_sum 'Zr2 Ni4 Br2'
_symmetry_space_group_name_H-M 'I 4/m m m'
_symmetry_Int_Tables_number 139
_symmetry_space_group_name_Hall '-I 4 2'
_cell_length_a 3.8758
_cell_length_b 3.8758
_cell_length_c 8.5741
_cell_angle_alpha 90.00
_cell_angle_beta 90.00
_cell_angle_gamma 90.00
loop_
_atom_site_label
_atom_site_type_symbol
_atom_site_fract_x
_atom_site_fract_y
_atom_site_fract_z
Zr1 Zr 0.0000 0.0000 0.0000
Ni1 Ni 0.0000 0.5000 0.2500
Br1 Br 0.0000 0.0000 0.5000
```

=====

## Zr2NiBr (GGA-PBE)

Data for a relaxed structure of Zr2NiBr.

```
data_Zr2NiBr
_chemical_formula_sum 'Zr2 Ni1 Br1'
_symmetry_space_group_name_H-M 'P 4 m m'
_symmetry_Int_Tables_number 99
_symmetry_space_group_name_Hall 'P 4 -2'
_cell_length_a 3.3842
_cell_length_b 3.3842
_cell_length_c 7.2239
_cell_angle_alpha 90.00
_cell_angle_beta 90.00
_cell_angle_gamma 90.00
loop_
_atom_site_label
_atom_site_type_symbol
_atom_site_fract_x
_atom_site_fract_y
_atom_site_fract_z
Zr1 Zr 0.0000 0.0000 0.0000
Zr2 Zr 0.5000 0.5000 0.2920
Ni1 Ni 0.5000 0.5000 0.8503
Br1 Br 0.0000 0.0000 0.5265
```

=====

## Zr2NiBr (GGA-PBE)

Data for a relaxed structure of Zr2NiBr.

```
data_Zr2NiBr
_chemical_formula_sum 'Zr8 Ni4 Br4'
_symmetry_space_group_name_H-M 'F -4 3 m'
_symmetry_Int_Tables_number 216
_symmetry_space_group_name_Hall 'F -4 2 3'
_cell_length_a 6.7898
_cell_length_b 6.7898
_cell_length_c 6.7898
_cell_angle_alpha 90.00
_cell_angle_beta 90.00
_cell_angle_gamma 90.00
loop_
_atom_site_label
_atom_site_type_symbol
_atom_site_fract_x
_atom_site_fract_y
_atom_site_fract_z
Zr1 Zr 0.0000 0.0000 0.0000
Zr2 Zr 0.2500 0.2500 0.2500
Ni1 Ni 0.0000 0.0000 0.5000
Br1 Br 0.2500 0.2500 0.7500
```

=====

## NpBr3 (GGA-PBE)

Data for a relaxed structure of NpBr3.

```
data_NpBr3
_chemical_formula_sum 'Np4 Br12'
_symmetry_space_group_name_H-M 'C m c m'
_symmetry_Int_Tables_number 63
_symmetry_space_group_name_Hall '-C 2c 2'
_cell_length_a 4.0558
_cell_length_b 14.3574
_cell_length_c 9.1967
_cell_angle_alpha 90.00
_cell_angle_beta 90.00
_cell_angle_gamma 90.00
loop_
_atom_site_label
_atom_site_type_symbol
_atom_site_fract_x
_atom_site_fract_y
_atom_site_fract_z
Np1 Np 0.0000 0.2370 0.2500
Br1 Br 0.0000 0.1579 0.5687
Br2 Br 0.0000 0.4061 0.7500
```

=====

## NpBr3 (GGA-PBE)

Data for a relaxed structure of NpBr3.

```
data_NpBr3
_chemical_formula_sum 'Np2 Br6'
_symmetry_space_group_name_H-M 'P 63/m'
_symmetry_Int_Tables_number 176
_symmetry_space_group_name_Hall '-P 6c'
_cell_length_a 7.9715
_cell_length_b 7.9715
_cell_length_c 4.4221
_cell_angle_alpha 90.00
_cell_angle_beta 90.00
_cell_angle_gamma 120.00
loop_
_atom_site_label
_atom_site_type_symbol
_atom_site_fract_x
_atom_site_fract_y
_atom_site_fract_z
Np1 Np 0.3333 0.6667 0.2500
Br1 Br 0.0864 0.3888 0.7500
```

=====

## NpBr6 (GGA-PBE)

Data for a relaxed structure of NpBr6.

```
data_NpBr6
_chemical_formula_sum 'Np4 Br24'
_symmetry_space_group_name_H-M 'P n m a'
_symmetry_Int_Tables_number 62
_symmetry_space_group_name_Hall '-P 2ac 2n'
_cell_length_a 13.5790
_cell_length_b 12.4207
_cell_length_c 7.1994
_cell_angle_alpha 90.00
_cell_angle_beta 90.00
_cell_angle_gamma 90.00
loop_
_atom_site_label
_atom_site_type_symbol
_atom_site_fract_x
_atom_site_fract_y
_atom_site_fract_z
Np1 Np 0.1296 0.2500 0.0883
Br1 Br 0.0109 0.2500 0.7999
Br2 Br 0.0216 0.1002 0.2462
Br3 Br 0.2381 0.1006 0.9304
Br4 Br 0.2476 0.2500 0.3769
```

=====

## NpBrO4 (GGA-PBE)

Data for a relaxed structure of NpBrO4.

```
data_NpBrO4
_chemical_formula_sum 'Np4 Br4 O16'
_symmetry_space_group_name_H-M 'C 1 2/c 1'
_symmetry_Int_Tables_number 15
_symmetry_space_group_name_Hall '-C 2yc'
_cell_length_a 15.1301
_cell_length_b 5.2222
_cell_length_c 6.2740
_cell_angle_alpha 90.00
_cell_angle_beta 114.08
_cell_angle_gamma 90.00
loop_
_atom_site_label
_atom_site_type_symbol
_atom_site_fract_x
_atom_site_fract_y
_atom_site_fract_z
Np1 Np 0.2500 0.2500 0.0000
Br1 Br 0.0000 0.1013 0.2500
O1 O 0.0972 0.1169 0.8218
O2 O 0.2146 0.4738 0.2812
```

=====

## Np2Br8O (GGA-PBE)

Data for a relaxed structure of Np2Br8O.

```
data_Np2Br8O
_chemical_formula_sum 'Np4 Br16 O2'
_symmetry_space_group_name_H-M 'C 1 2/m 1'
_symmetry_Int_Tables_number 12
_symmetry_space_group_name_Hall '-C 2y'
_cell_length_a 16.7573
_cell_length_b 11.1952
_cell_length_c 5.6608
_cell_angle_alpha 90.00
_cell_angle_beta 109.69
_cell_angle_gamma 90.00
loop_
_atom_site_label
_atom_site_type_symbol
_atom_site_fract_x
_atom_site_fract_y
_atom_site_fract_z
Np1 Np 0.1296 0.0000 0.1291
Br1 Br 0.1288 0.2361 0.1278
Br2 Br 0.1304 0.0000 0.6299
Br3 Br 0.2026 0.5000 0.7027
O1 O 0.0000 0.0000 0.0000
```

=====

## Np2BrO7 (GGA-PBE)

Data for a relaxed structure of Np2BrO7.

```
data_Np2BrO7
_chemical_formula_sum 'Np4 Br2 O14'
_symmetry_space_group_name_H-M 'C m m m'
_symmetry_Int_Tables_number 65
_symmetry_space_group_name_Hall '-C 2 2'
_cell_length_a 6.4471
_cell_length_b 13.4152
_cell_length_c 4.1681
_cell_angle_alpha 90.00
_cell_angle_beta 90.00
_cell_angle_gamma 90.00
loop_
_atom_site_label
_atom_site_type_symbol
_atom_site_fract_x
_atom_site_fract_y
_atom_site_fract_z
Np1 Np 0.0000 0.1561 0.0000
Br1 Br 0.0000 0.5000 0.5000
O1 O 0.0000 0.0000 0.0000
O2 O 0.0000 0.1613 0.5000
O3 O 0.2181 0.3445 0.0000
```

=====

## NpBrO3 (GGA-PBE)

Data for a relaxed structure of NpBrO3.

```
data_NpBrO3
_chemical_formula_sum 'Np1 Br1 O3'
_symmetry_space_group_name_H-M 'P m -3 m'
_symmetry_Int_Tables_number 221
_symmetry_space_group_name_Hall '-P 4 2 3'
_cell_length_a 4.2393
_cell_length_b 4.2393
_cell_length_c 4.2393
_cell_angle_alpha 90.00
_cell_angle_beta 90.00
_cell_angle_gamma 90.00
loop_
_atom_site_label
_atom_site_type_symbol
_atom_site_fract_x
_atom_site_fract_y
_atom_site_fract_z
Np1 Np 0.0000 0.0000 0.0000
Br1 Br 0.5000 0.5000 0.5000
O1 O 0.0000 0.0000 0.5000
```

=====

## Np3Br2O8 (GGA-PBE)

Data for a relaxed structure of Np3Br2O8.

```
data_Np3Br2O8
_chemical_formula_sum 'Np6 Br4 O16'
_symmetry_space_group_name_H-M 'C 1 2/m 1'
_symmetry_Int_Tables_number 12
_symmetry_space_group_name_Hall '-C 2y'
_cell_length_a 14.0492
_cell_length_b 6.6666
_cell_length_c 7.0133
_cell_angle_alpha 90.00
_cell_angle_beta 99.81
_cell_angle_gamma 90.00
loop_
_atom_site_label
_atom_site_type_symbol
_atom_site_fract_x
_atom_site_fract_y
_atom_site_fract_z
Np1 Np 0.0000 0.0000 0.0000
Np2 Np 0.0000 0.2484 0.5000
Br1 Br 0.1932 0.0000 0.0707
O1 O 0.0013 0.2231 0.7997
O2 O 0.0887 0.5000 0.5281
O3 O 0.0896 0.0000 0.5288
```

=====

## NpBrO3 (GGA-PBE)

Data for a relaxed structure of NpBrO3.

```
data_NpBrO3
_chemical_formula_sum 'Np4 Br4 O12'
_symmetry_space_group_name_H-M 'P n m a'
_symmetry_Int_Tables_number 62
_symmetry_space_group_name_Hall '-P 2ac 2n'
_cell_length_a 5.9661
_cell_length_b 7.5803
_cell_length_c 11.9443
_cell_angle_alpha 90.00
_cell_angle_beta 90.00
_cell_angle_gamma 90.00
loop_
_atom_site_label
_atom_site_type_symbol
_atom_site_fract_x
_atom_site_fract_y
_atom_site_fract_z
Np1 Np 0.0000 0.0000 0.0000
Br1 Br 0.2488 0.2500 0.3696
O1 O 0.1081 0.2500 0.9510
O2 O 0.2110 0.5060 0.1053
```

=====

| no. | E_form (uncorrected) (eV per formula unit) | theoretical density (kg/m³) |
| --- | --- | --- |
| 1 | -0.13 | 7974 |
| 2 | 0.77 | 7243 |
| 3 | 0.40 | 6934 |
| 4 | -0.44 | 6161 |
| 5 | -0.49 | 7240 |
| 6 | -0.53 | 7190 |
| 7 | -0.59 | 5925 |
| 8 | 0.36 | 7203 |
| 9 | 0.53 | 7370 |
| 10 | -0.59 | 6557 |
| 11 | -0.39 | 7081 |
| 12 | -0.86 | 5355 |
| 13 | -0.19 | 6962 |
| 14 | 0.93 | 7439 |
| 15 | -0.98 | 6444 |
| 16 | 2.26 | 6812 |
| 17 | -5.31 | 5913 |
| 18 | -5.20 | 6506 |
| 19 | -6.60 | 3919 |
| 20 | -9.06 | 5590 |
| 21 | -14.09 | 3751 |
| 22 | -19.61 | 6135 |
| 23 | -8.71 | 7953 |
| 24 | -30.14 | 5125 |
| 25 | -10.33 | 4487 |